DFT (PBE-GGA) results for crystalline BeZnTe2 at its relaxed geometry.

a = 11.269 Å, b = 11.269 Å, c = 4.728 Å
α = 90.00°, β = 90.00°, γ = 159.62°
Atoms (fractional coordinates):
Te: 0.048 0.952 0.750
Te: 0.952 0.048 0.250
Te: 0.820 0.180 0.750
Te: 0.180 0.820 0.250
Zn: 0.308 0.692 0.250
Zn: 0.692 0.308 0.750
Be: 0.934 0.066 0.750
Be: 0.066 0.934 0.250

Properties
Size of the total moment, μB per atom: 0.0000
DOS at the Fermi energy, states/eV/f.u.: 1.09
Electronic total energy, eV per atom: -2.608
Relative energy among the computed polymorphs, meV/atom: 620